Here is an optimized crystal structure of Ag2GeAu2 from the Alexandria database. Energies are from PBE-GGA.

Cell lengths 3.8400, 3.8400, 13.9825 Å; angles 90.00, 90.00, 90.00 degrees
Last column: nearest neighbours and their distance in Å.
Fractional positions:
Ag: 0.0000 0.0000 0.0963  1 Ag 2.69, 4 Au 2.88
Ag: 0.0000 0.0000 0.9037  1 Ag 2.69, 4 Au 2.88
Ag: 0.5000 0.5000 0.4037  1 Ag 2.69, 4 Au 2.88
Ag: 0.5000 0.5000 0.5963  1 Ag 2.69, 4 Au 2.88
Ge: 0.0000 0.0000 0.5000  8 Ag 3.03
Ge: 0.5000 0.5000 0.0000  8 Ag 3.03
Au: 0.0000 0.5000 0.2500  4 Au 2.72, 4 Ag 2.88
Au: 0.0000 0.5000 0.7500  4 Au 2.72, 4 Ag 2.88
Au: 0.5000 0.0000 0.2500  4 Au 2.72, 4 Ag 2.88
Au: 0.5000 0.0000 0.7500  4 Au 2.72, 4 Ag 2.88

Values from the calculation:
* spin magnetization: 0.00 μB per cell
* formation enthalpy at 0 K: 240 meV/atom
* Fermi-level density of states: 5.5 states/eV/cell
* energy above the most stable polymorph in this dataset: 0.210 eV/atom
* space-group type: I4/mmm
* total energy: -3.13 eV per atom